Below is an optimized crystal structure of KBaSr2Ge, with properties calculated at the GGA-PBE level.

Geometry as extended XYZ:
```
5
Lattice="-2.227 1.459 -5.726 -5.403 -2.980 1.342 -2.529 5.681 2.432" Properties=species:S:1:pos:R:3 pbc="T T T"
Sr -2.702 -1.490 0.671
Sr -1.114 0.730 -2.863
Ba -1.265 2.841 1.216
Ge 0.000 0.000 0.000
K -5.080 2.081 -0.976
```

Summary:
Uncorrected energy ... -2.389 eV/atom